This record from OQMD via LeMat-Bulk describes KErCuSe3 after structural relaxation. The functional is PBE.

a = 9.0719 Å, b = 4.0201 Å, c = 9.6233 Å
α = 90.00°, β = 110.03°, γ = 90.00°
Space group P2_1/m (No. 11)
Asymmetric unit:
K 0.2119 0.2500 0.2402 [2 per cell]
Er 0.3220 0.7500 0.8554 [2 per cell]
Cu 0.0839 0.2500 0.5989 [2 per cell]
Se 0.1052 0.2500 0.8586 [2 per cell]
Se 0.2012 0.7500 0.5325 [2 per cell]
Se 0.4652 0.7500 0.1668 [2 per cell]

## Properties
E in eV per atom: -4.49

=====

This record from OQMD via LeMat-Bulk describes TbHo2Al7Cu2 after structural relaxation. The functional is PBE.

a = 5.4831 Å, b = 5.4831 Å, c = 25.3868 Å
α = 90.00°, β = 90.00°, γ = 120.00°
Space group R-3m (No. 166, hexagonal axes)
Asymmetric unit:
Tb 0.0000 0.0000 0.0000 [3 per cell]
Ho 0.0000 0.0000 0.1420 [6 per cell]
Al 0.0000 0.0000 0.5000 [3 per cell]
Al 0.0063 0.5032 0.9214 [18 per cell]
Cu 0.0000 0.0000 0.3353 [6 per cell]

## Properties
E in eV per atom: -4.44

=====

This record from OQMD via LeMat-Bulk describes Nd2NiGe4Au after structural relaxation. The functional is PBE.

a = 4.3268 Å, b = 4.2902 Å, c = 17.5032 Å
α = 90.00°, β = 90.00°, γ = 90.00°
Space group Amm2 (No. 38)
Asymmetric unit:
Nd 0.0000 0.0000 0.0000 [2 per cell]
Nd 0.5000 0.0000 0.2077 [2 per cell]
Ni 0.5000 0.0000 0.4241 [2 per cell]
Ge 0.0000 0.0000 0.3628 [2 per cell]
Ge 0.0000 0.0000 0.6317 [2 per cell]
Ge 0.5000 0.0000 0.5580 [2 per cell]
Ge 0.5000 0.0000 0.8626 [2 per cell]
Au 0.0000 0.0000 0.7739 [2 per cell]

## Properties
E in eV per atom: -5.27

=====

This record from OQMD via LeMat-Bulk describes TbDy2Zn3NiAu2 after structural relaxation. The functional is PBE.

a = 3.9247 Å, b = 12.5964 Å, c = 7.2702 Å
α = 90.00°, β = 90.00°, γ = 90.00°
Space group Amm2 (No. 38)
Asymmetric unit:
Tb 0.0000 0.0000 0.0000 [2 per cell]
Dy 0.0000 0.1976 0.4073 [4 per cell]
Zn 0.5000 0.0000 0.3738 [2 per cell]
Zn 0.5000 0.1156 0.7203 [4 per cell]
Ni 0.0000 0.0000 0.6047 [2 per cell]
Au 0.5000 0.1668 0.1049 [4 per cell]

## Properties
E in eV per atom: -3.92

=====

This record from OQMD via LeMat-Bulk describes Hf2Pd after structural relaxation. The functional is PBE.

a = 12.4041 Å, b = 12.4041 Å, c = 12.4041 Å
α = 90.00°, β = 90.00°, γ = 90.00°
Space group Fd-3m (No. 227, origin choice 2)
Asymmetric unit:
Hf 0.0000 0.0000 0.0000 [16 per cell]
Hf 0.0609 0.3750 0.8750 [48 per cell]
Pd 0.0319 0.0319 0.2181 [32 per cell]

## Properties
E in eV per atom: -8.81

=====

This record from OQMD via LeMat-Bulk describes NaSmI4 after structural relaxation. The functional is PBE.

a = 7.5749 Å, b = 7.8179 Å, c = 8.0981 Å
α = 90.11°, β = 92.41°, γ = 100.57°
Space group P-1 (No. 2)
Asymmetric unit:
Na 0.2275 0.3277 0.4414 [2 per cell]
Sm 0.2072 0.8034 0.0583 [2 per cell]
I 0.0529 0.9927 0.7466 [2 per cell]
I 0.1001 0.4932 0.7906 [2 per cell]
I 0.3989 0.7252 0.3806 [2 per cell]
I 0.4296 0.1952 0.1142 [2 per cell]

## Properties
E in eV per atom: -3.36

=====

This record from OQMD via LeMat-Bulk describes SmBiO3 after structural relaxation. The functional is PBE.

a = 10.7595 Å, b = 6.1388 Å, c = 5.9521 Å
α = 90.00°, β = 123.48°, γ = 90.00°
Space group C2/m (No. 12)
Asymmetric unit:
Sm 0.2501 0.0000 0.1984 [4 per cell]
Bi 0.0000 0.0000 0.5000 [2 per cell]
Bi 0.0000 0.5000 0.0000 [2 per cell]
O 0.0981 0.2498 0.8481 [8 per cell]
O 0.2496 0.0000 0.5744 [4 per cell]

## Properties
E in eV per atom: -6.87

=====

This record from OQMD via LeMat-Bulk describes SmAgSb after structural relaxation. The functional is PBE.

a = 6.8464 Å, b = 6.8464 Å, c = 6.8464 Å
α = 90.00°, β = 90.00°, γ = 90.00°
Space group F-43m (No. 216)
Asymmetric unit:
Sm 0.0000 0.0000 0.0000 [4 per cell]
Ag 0.2500 0.2500 0.7500 [4 per cell]
Sb 0.0000 0.0000 0.5000 [4 per cell]

## Properties
E in eV per atom: -4.41

=====

This record from OQMD via LeMat-Bulk describes ScCoBi2 after structural relaxation. The functional is PBE.

a = 7.1672 Å, b = 7.1672 Å, c = 7.1672 Å
α = 90.00°, β = 90.00°, γ = 90.00°
Space group F-43m (No. 216)
Asymmetric unit:
Sc 0.0000 0.0000 0.0000 [4 per cell]
Co 0.2500 0.2500 0.7500 [4 per cell]
Bi 0.0000 0.0000 0.5000 [4 per cell]
Bi 0.2500 0.2500 0.2500 [4 per cell]

## Properties
Excess energy over the best structure of this formula in the dataset in meV per atom: 0

=====

This record from OQMD via LeMat-Bulk describes Zn2SiN4F after structural relaxation. The functional is PBE.

a = 4.3512 Å, b = 4.3512 Å, c = 9.7945 Å
α = 90.00°, β = 90.00°, γ = 90.00°
Space group I-4 (No. 82)
Asymmetric unit:
Zn 0.0000 0.0000 0.0000 [2 per cell]
Zn 0.0000 0.5000 0.2500 [2 per cell]
Si 0.0000 0.0000 0.5000 [2 per cell]
N 0.1051 0.6318 0.4361 [8 per cell]
F 0.0000 0.5000 0.7500 [2 per cell]

## Properties
E in eV per atom: -5.38

=====

This record from OQMD via LeMat-Bulk describes Sc2Ag2SnPb after structural relaxation. The functional is PBE.

a = 11.3741 Å, b = 4.6420 Å, c = 11.3763 Å
α = 90.00°, β = 109.48°, γ = 90.00°
Space group Pm (No. 6)
Asymmetric unit:
Sc 0.0000 0.0000 0.0000 [1 per cell]
Sc 0.1216 0.5000 0.3748 [1 per cell]
Sc 0.2459 0.0000 0.7477 [1 per cell]
Sc 0.3752 0.5000 0.1280 [1 per cell]
Sc 0.4988 0.0000 0.5010 [1 per cell]
Sc 0.6239 0.5000 0.8728 [1 per cell]
Sc 0.7484 0.0000 0.2514 [1 per cell]
Sc 0.8725 0.5000 0.6242 [1 per cell]
Ag 0.1277 0.5000 0.1293 [1 per cell]
Ag 0.2442 0.0000 0.4954 [1 per cell]
Ag 0.3732 0.5000 0.8750 [1 per cell]
Ag 0.4989 0.0000 0.2549 [1 per cell]
Ag 0.6270 0.5000 0.6243 [1 per cell]
Ag 0.7489 0.0000 0.9961 [1 per cell]
Ag 0.8729 0.5000 0.3787 [1 per cell]
Ag 0.9938 0.0000 0.7456 [1 per cell]
Sn 0.2491 0.0000 0.2501 [1 per cell]
Sn 0.6235 0.5000 0.3752 [1 per cell]
Sn 0.7478 0.0000 0.7491 [1 per cell]
Sn 0.9977 0.0000 0.4993 [1 per cell]
Pb 0.1224 0.5000 0.8751 [1 per cell]
Pb 0.3735 0.5000 0.6240 [1 per cell]
Pb 0.4990 0.0000 0.0015 [1 per cell]
Pb 0.8738 0.5000 0.1258 [1 per cell]

## Properties
E in eV per atom: -4.67

=====

This record from OQMD via LeMat-Bulk describes Ho2AlZn after structural relaxation. The functional is PBE.

a = 3.5447 Å, b = 3.5447 Å, c = 7.2063 Å
α = 90.00°, β = 90.00°, γ = 90.00°
Space group P4/mmm (No. 123)
Asymmetric unit:
Ho 0.0000 0.0000 0.2452 [2 per cell]
Al 0.5000 0.5000 0.5000 [1 per cell]
Zn 0.5000 0.5000 0.0000 [1 per cell]

## Properties
E in eV per atom: -3.93

=====

This record from OQMD via LeMat-Bulk describes NiBPtW after structural relaxation. The functional is PBE.

a = 5.8825 Å, b = 5.8825 Å, c = 5.8825 Å
α = 90.00°, β = 90.00°, γ = 90.00°
Space group F-43m (No. 216)
Asymmetric unit:
Ni 0.0000 0.0000 0.0000 [4 per cell]
B 0.2500 0.2500 0.7500 [4 per cell]
Pt 0.2500 0.2500 0.2500 [4 per cell]
W 0.0000 0.0000 0.5000 [4 per cell]

## Properties
Excess energy over the best structure of this formula in the dataset in meV per atom: 149

=====

This record from OQMD via LeMat-Bulk describes InCu3Te4Pt after structural relaxation. The functional is PBE.

a = 6.2778 Å, b = 6.2778 Å, c = 6.2778 Å
α = 90.00°, β = 90.00°, γ = 90.00°
Space group P-43m (No. 215)
Asymmetric unit:
In 0.0000 0.0000 0.0000 [1 per cell]
Cu 0.0000 0.5000 0.5000 [3 per cell]
Te 0.2590 0.2590 0.2590 [4 per cell]
Pt 0.5000 0.5000 0.5000 [1 per cell]

## Properties
E in eV per atom: -3.60

=====

This record from OQMD via LeMat-Bulk describes CoNiBiOs after structural relaxation. The functional is PBE.

a = 6.2303 Å, b = 6.2303 Å, c = 6.2303 Å
α = 90.00°, β = 90.00°, γ = 90.00°
Space group F-43m (No. 216)
Asymmetric unit:
Co 0.0000 0.0000 0.0000 [4 per cell]
Ni 0.2500 0.2500 0.2500 [4 per cell]
Bi 0.2500 0.2500 0.7500 [4 per cell]
Os 0.0000 0.0000 0.5000 [4 per cell]

## Properties
Excess energy over the best structure of this formula in the dataset in meV per atom: 0

=====

This record from OQMD via LeMat-Bulk describes HgSb2S4 after structural relaxation. The functional is PBE.

a = 14.7545 Å, b = 3.9897 Å, c = 14.1907 Å
α = 90.00°, β = 118.45°, γ = 90.00°
Space group C2/m (No. 12)
Asymmetric unit:
Hg 0.0000 0.0000 0.0000 [2 per cell]
Hg 0.0000 0.0000 0.5000 [2 per cell]
Sb 0.1526 0.5000 0.3710 [4 per cell]
Sb 0.2298 0.0000 0.8738 [4 per cell]
S 0.0097 0.0000 0.3364 [4 per cell]
S 0.1357 0.5000 0.9334 [4 per cell]
S 0.1591 0.0000 0.1631 [4 per cell]
S 0.1963 0.5000 0.5635 [4 per cell]

## Properties
E in eV per atom: -3.80

=====

This record from OQMD via LeMat-Bulk describes DyTm3Pb2C2 after structural relaxation. The functional is PBE.

a = 3.5989 Å, b = 3.5989 Å, c = 15.9219 Å
α = 90.00°, β = 90.00°, γ = 120.00°
Space group P3m1 (No. 156)
Asymmetric unit:
Dy 0.0000 0.0000 0.0000 [1 per cell]
Tm 0.0000 0.0000 0.3358 [1 per cell]
Tm 0.3333 0.6667 0.4990 [1 per cell]
Tm 0.3333 0.6667 0.8346 [1 per cell]
Pb 0.0000 0.0000 0.6669 [1 per cell]
Pb 0.3333 0.6667 0.1691 [1 per cell]
C 0.6667 0.3333 0.4175 [1 per cell]
C 0.6667 0.3333 0.9156 [1 per cell]

## Properties
E in eV per atom: -6.01

=====

This record from OQMD via LeMat-Bulk describes Ta2ReMo after structural relaxation. The functional is PBE.

a = 6.4248 Å, b = 6.4248 Å, c = 6.4248 Å
α = 90.00°, β = 90.00°, γ = 90.00°
Space group Fm-3m (No. 225)
Asymmetric unit:
Ta 0.2500 0.2500 0.2500 [8 per cell]
Re 0.0000 0.0000 0.0000 [4 per cell]
Mo 0.0000 0.0000 0.5000 [4 per cell]

## Properties
Excess energy over the best structure of this formula in the dataset in meV per atom: 0

=====

This record from OQMD via LeMat-Bulk describes MgCuNiPb after structural relaxation. The functional is PBE.

a = 6.4284 Å, b = 6.4284 Å, c = 6.4284 Å
α = 90.00°, β = 90.00°, γ = 90.00°
Space group F-43m (No. 216)
Asymmetric unit:
Mg 0.0000 0.0000 0.0000 [4 per cell]
Cu 0.2500 0.2500 0.2500 [4 per cell]
Ni 0.0000 0.0000 0.5000 [4 per cell]
Pb 0.2500 0.2500 0.7500 [4 per cell]

## Properties
Excess energy over the best structure of this formula in the dataset in meV per atom: 104

=====

This record from OQMD via LeMat-Bulk describes ZrB2PbO6 after structural relaxation. The functional is PBE.

a = 5.0953 Å, b = 5.0953 Å, c = 33.2790 Å
α = 90.00°, β = 90.00°, γ = 120.00°
Space group R-3c (No. 167, hexagonal axes)
Asymmetric unit:
Zr 0.0000 0.0000 0.0000 [6 per cell]
B 0.0000 0.0000 0.1299 [12 per cell]
Pb 0.0000 0.0000 0.2500 [6 per cell]
O 0.0381 0.4294 0.2960 [36 per cell]

## Properties
E in eV per atom: -8.01